Record 1
# PBE-GGA Pr2NdCu2Si4Ni2, relaxed
data_Pr2NdCu2Si4Ni2
_chemical_formula_sum 'Pr4 Nd2 Cu4 Si8 Ni4'
_space_group_name_H-M_alt 'I m m m'
_space_group_IT_number 71
_space_group_name_Hall '-I 2 2'
_cell_length_a 4.126
_cell_length_b 4.155
_cell_length_c 23.583
_cell_angle_alpha 90.00
_cell_angle_beta 90.00
_cell_angle_gamma 90.00
loop_
_atom_site_label
_atom_site_type_symbol
_atom_site_fract_x
_atom_site_fract_y
_atom_site_fract_z
Pr1 Pr 0.000 0.000 0.152
Nd1 Nd 0.000 0.500 0.500
Cu1 Cu 0.000 0.000 0.400
Si1 Si 0.000 0.000 0.298
Si2 Si 0.000 0.500 0.051
Ni1 Ni 0.000 0.500 0.251
# energy = -5.66 eV per atom

Record 2
# PBE-GGA NdCu2NiPt2, relaxed
data_NdCu2NiPt2
_chemical_formula_sum 'Nd2 Cu4 Ni2 Pt4'
_space_group_name_H-M_alt 'C m m m'
_space_group_IT_number 65
_space_group_name_Hall '-C 2 2'
_cell_length_a 5.472
_cell_length_b 8.784
_cell_length_c 4.079
_cell_angle_alpha 90.00
_cell_angle_beta 90.00
_cell_angle_gamma 90.00
loop_
_atom_site_label
_atom_site_type_symbol
_atom_site_fract_x
_atom_site_fract_y
_atom_site_fract_z
Nd1 Nd 0.000 0.000 0.000
Cu1 Cu 0.000 0.346 0.000
Ni1 Ni 0.000 0.500 0.500
Pt1 Pt 0.250 0.250 0.500
# ΔE_f = -565 meV per atom

Record 3
# PBE-GGA NdCuNiPt3, relaxed
data_NdCuNiPt3
_chemical_formula_sum 'Nd1 Cu1 Ni1 Pt3'
_space_group_name_H-M_alt 'P -6 m 2'
_space_group_IT_number 187
_space_group_name_Hall 'P -6 2'
_cell_length_a 5.3835
_cell_length_b 5.3835
_cell_length_c 4.1210
_cell_angle_alpha 90.00
_cell_angle_beta 90.00
_cell_angle_gamma 120.00
loop_
_atom_site_label
_atom_site_type_symbol
_atom_site_fract_x
_atom_site_fract_y
_atom_site_fract_z
Nd1 Nd 0.0000 0.0000 0.0000
Cu1 Cu 0.6667 0.3333 0.0000
Ni1 Ni 0.3333 0.6667 0.0000
Pt1 Pt 0.0011 0.5005 0.5000
# ΔE_f = -629 meV per atom

Record 4
# PBE-GGA Nd2CuNiSb4, relaxed
data_Nd2CuNiSb4
_chemical_formula_sum 'Nd2 Cu1 Ni1 Sb4'
_space_group_name_H-M_alt 'P -4 m 2'
_space_group_IT_number 115
_cell_length_a 4.415
_cell_length_b 4.415
_cell_length_c 9.843
_cell_angle_alpha 90.00
_cell_angle_beta 90.00
_cell_angle_gamma 90.00
loop_
_space_group_symop_operation_xyz
'x,y,z'
'y,-x,-z'
'-x,-y,z'
'-y,x,-z'
'-x,y,z'
'-y,-x,-z'
'x,-y,z'
'y,x,-z'
loop_
_atom_site_label
_atom_site_type_symbol
_atom_site_fract_x
_atom_site_fract_y
_atom_site_fract_z
Nd1 Nd 0.000 0.500 0.242
Cu1 Cu 0.500 0.500 0.000
Ni1 Ni 0.000 0.000 0.000
Sb1 Sb 0.000 0.000 0.500
Sb2 Sb 0.000 0.500 0.858
Sb3 Sb 0.500 0.500 0.500
# energy = -5.11 eV per atom

Record 5
# PBE-GGA Nd2CuNiSn4, relaxed
data_Nd2CuNiSn4
_chemical_formula_sum 'Nd4 Cu2 Ni2 Sn8'
_space_group_name_H-M_alt 'A m m 2'
_space_group_IT_number 38
_cell_length_a 4.554
_cell_length_b 4.429
_cell_length_c 18.652
_cell_angle_alpha 90.00
_cell_angle_beta 90.00
_cell_angle_gamma 90.00
loop_
_space_group_symop_operation_xyz
'x,y,z'
'-x,-y,z'
'-x,y,z'
'x,-y,z'
'x,y+1/2,z+1/2'
'-x,-y+1/2,z+1/2'
'-x,y+1/2,z+1/2'
'x,-y+1/2,z+1/2'
loop_
_atom_site_label
_atom_site_type_symbol
_atom_site_fract_x
_atom_site_fract_y
_atom_site_fract_z
Nd1 Nd 0.000 0.000 0.000
Nd2 Nd 0.500 0.000 0.215
Cu1 Cu 0.000 0.000 0.780
Ni1 Ni 0.500 0.000 0.423
Sn1 Sn 0.000 0.000 0.359
Sn2 Sn 0.000 0.000 0.646
Sn3 Sn 0.500 0.000 0.556
Sn4 Sn 0.500 0.000 0.856
# energy = -4.89 eV per atom

Record 6
# PBE-GGA NdZnCu2Ni2, relaxed
data_NdZnCu2Ni2
_chemical_formula_sum 'Nd2 Zn2 Cu4 Ni4'
_space_group_name_H-M_alt 'C m m m'
_space_group_IT_number 65
_space_group_name_Hall '-C 2 2'
_cell_length_a 5.140
_cell_length_b 8.787
_cell_length_c 4.035
_cell_angle_alpha 90.00
_cell_angle_beta 90.00
_cell_angle_gamma 90.00
loop_
_atom_site_label
_atom_site_type_symbol
_atom_site_fract_x
_atom_site_fract_y
_atom_site_fract_z
Nd1 Nd 0.000 0.000 0.000
Zn1 Zn 0.000 0.500 0.500
Cu1 Cu 0.000 0.328 0.000
Ni1 Ni 0.250 0.250 0.500
# ΔE_f = -280 meV per atom

Record 7
# PBE-GGA Nd2NpCuSb4, relaxed
data_Nd2NpCuSb4
_chemical_formula_sum 'Nd2 Np1 Cu1 Sb4'
_space_group_name_H-M_alt 'P -4 m 2'
_space_group_IT_number 115
_cell_length_a 4.376
_cell_length_b 4.376
_cell_length_c 11.456
_cell_angle_alpha 90.00
_cell_angle_beta 90.00
_cell_angle_gamma 90.00
loop_
_space_group_symop_operation_xyz
'x,y,z'
'y,-x,-z'
'-x,-y,z'
'-y,x,-z'
'-x,y,z'
'-y,-x,-z'
'x,-y,z'
'y,x,-z'
loop_
_atom_site_label
_atom_site_type_symbol
_atom_site_fract_x
_atom_site_fract_y
_atom_site_fract_z
Nd1 Nd 0.000 0.500 0.215
Np1 Np 0.500 0.500 0.500
Cu1 Cu 0.000 0.000 0.500
Sb1 Sb 0.000 0.000 0.000
Sb2 Sb 0.000 0.500 0.683
Sb3 Sb 0.500 0.500 0.000
# energy = -5.82 eV per atom

Record 8
# PBE-GGA Nd2CuSb4Os, relaxed
data_Nd2CuSb4Os
_chemical_formula_sum 'Nd2 Cu1 Sb4 Os1'
_space_group_name_H-M_alt 'P -4 m 2'
_space_group_IT_number 115
_cell_length_a 4.409
_cell_length_b 4.409
_cell_length_c 10.084
_cell_angle_alpha 90.00
_cell_angle_beta 90.00
_cell_angle_gamma 90.00
loop_
_space_group_symop_operation_xyz
'x,y,z'
'y,-x,-z'
'-x,-y,z'
'-y,x,-z'
'-x,y,z'
'-y,-x,-z'
'x,-y,z'
'y,x,-z'
loop_
_atom_site_label
_atom_site_type_symbol
_atom_site_fract_x
_atom_site_fract_y
_atom_site_fract_z
Nd1 Nd 0.000 0.500 0.249
Cu1 Cu 0.500 0.500 0.000
Sb1 Sb 0.000 0.000 0.500
Sb2 Sb 0.000 0.500 0.852
Sb3 Sb 0.500 0.500 0.500
Os1 Os 0.000 0.000 0.000
# energy = -5.59 eV per atom

Record 9
# PBE-GGA NdCuSi2Os, relaxed
data_NdCuSi2Os
_chemical_formula_sum 'Nd2 Cu2 Si4 Os2'
_space_group_name_H-M_alt 'I -4 m 2'
_space_group_IT_number 119
_space_group_name_Hall 'I -4 -2'
_cell_length_a 4.069
_cell_length_b 4.069
_cell_length_c 10.192
_cell_angle_alpha 90.00
_cell_angle_beta 90.00
_cell_angle_gamma 90.00
loop_
_atom_site_label
_atom_site_type_symbol
_atom_site_fract_x
_atom_site_fract_y
_atom_site_fract_z
Nd1 Nd 0.000 0.000 0.000
Cu1 Cu 0.000 0.500 0.750
Si1 Si 0.000 0.000 0.378
Os1 Os 0.000 0.500 0.250
# energy = -6.65 eV per atom

Record 10
# PBE-GGA NdCu3P2, relaxed
data_NdCu3P2
_chemical_formula_sum 'Nd1 Cu3 P2'
_space_group_name_H-M_alt 'P -3 m 1'
_space_group_IT_number 164
_space_group_name_Hall '-P 3 2"'
_cell_length_a 4.0196
_cell_length_b 4.0196
_cell_length_c 6.6805
_cell_angle_alpha 90.00
_cell_angle_beta 90.00
_cell_angle_gamma 120.00
loop_
_atom_site_label
_atom_site_type_symbol
_atom_site_fract_x
_atom_site_fract_y
_atom_site_fract_z
Nd1 Nd 0.0000 0.0000 0.0000
Cu1 Cu 0.0000 0.0000 0.5000
Cu2 Cu 0.3333 0.6667 0.6549
P1 P 0.3333 0.6667 0.2668
# energy = -5.02 eV per atom

Record 11
# PBE-GGA NdCu4P2, relaxed
data_NdCu4P2
_chemical_formula_sum 'Nd6 Cu24 P12'
_space_group_name_H-M_alt 'P n n m'
_space_group_IT_number 58
_cell_length_a 10.976
_cell_length_b 14.632
_cell_length_c 3.875
_cell_angle_alpha 90.00
_cell_angle_beta 90.00
_cell_angle_gamma 90.00
loop_
_space_group_symop_operation_xyz
'x,y,z'
'-x,-y,-z'
'-x,-y,z'
'x,y,-z'
'x+1/2,-y+1/2,-z+1/2'
'-x+1/2,y+1/2,z+1/2'
'-x+1/2,y+1/2,-z+1/2'
'x+1/2,-y+1/2,z+1/2'
loop_
_atom_site_label
_atom_site_type_symbol
_atom_site_fract_x
_atom_site_fract_y
_atom_site_fract_z
Nd1 Nd 0.000 0.000 0.000
Nd2 Nd 0.123 0.273 0.000
Cu1 Cu 0.068 0.564 0.000
Cu2 Cu 0.074 0.832 0.500
Cu3 Cu 0.100 0.447 0.500
Cu4 Cu 0.171 0.716 0.000
Cu5 Cu 0.235 0.965 0.500
Cu6 Cu 0.243 0.589 0.500
P1 P 0.058 0.665 0.500
P2 P 0.134 0.115 0.500
P3 P 0.207 0.871 0.000
# energy = -4.88 eV per atom

Record 12
# PBE-GGA NdCuSbP, relaxed
data_NdCuSbP
_chemical_formula_sum 'Nd2 Cu2 Sb2 P2'
_space_group_name_H-M_alt 'P 4/n m m'
_space_group_IT_number 129
_cell_length_a 4.102
_cell_length_b 4.102
_cell_length_c 10.067
_cell_angle_alpha 90.00
_cell_angle_beta 90.00
_cell_angle_gamma 90.00
loop_
_space_group_symop_operation_xyz
'x,y,z'
'-x,-y,-z'
'-y+1/2,x,z'
'y+1/2,-x,-z'
'-x+1/2,-y+1/2,z'
'x+1/2,y+1/2,-z'
'y,-x+1/2,z'
'-y,x+1/2,-z'
'x+1/2,-y,-z'
'-x+1/2,y,z'
'-y,-x,-z'
'y,x,z'
'-x,y+1/2,-z'
'x,-y+1/2,z'
'y+1/2,x+1/2,-z'
'-y+1/2,-x+1/2,z'
loop_
_atom_site_label
_atom_site_type_symbol
_atom_site_fract_x
_atom_site_fract_y
_atom_site_fract_z
Nd1 Nd 0.250 0.250 0.237
Cu1 Cu 0.250 0.750 0.000
Sb1 Sb 0.250 0.750 0.500
P1 P 0.250 0.250 0.862
# polymorph energy (0 for the lowest one) = 0.00 eV per formula unit

What did the sixth record say?
# PBE-GGA NdZnCu2Ni2, relaxed
data_NdZnCu2Ni2
_chemical_formula_sum 'Nd2 Zn2 Cu4 Ni4'
_space_group_name_H-M_alt 'C m m m'
_space_group_IT_number 65
_space_group_name_Hall '-C 2 2'
_cell_length_a 5.140
_cell_length_b 8.787
_cell_length_c 4.035
_cell_angle_alpha 90.00
_cell_angle_beta 90.00
_cell_angle_gamma 90.00
loop_
_atom_site_label
_atom_site_type_symbol
_atom_site_fract_x
_atom_site_fract_y
_atom_site_fract_z
Nd1 Nd 0.000 0.000 0.000
Zn1 Zn 0.000 0.500 0.500
Cu1 Cu 0.000 0.328 0.000
Ni1 Ni 0.250 0.250 0.500
# ΔE_f = -280 meV per atom